[1]
# GGA-PBE UAlGe, optimized geometry
# Energy ... -18.9 eV per cell
# Mass density ... 8464 kg/m3
data_UAlGe
_chemical_formula_sum 'U1 Al1 Ge1'
_cell_length_a 4.5418
_cell_length_b 4.5418
_cell_length_c 4.5418
_cell_angle_alpha 60.00
_cell_angle_beta 60.00
_cell_angle_gamma 60.00
_space_group_name_H-M_alt 'P 1'
_space_group_IT_number 1
_space_group_name_Hall 'P 1'
loop_
_atom_site_label
_atom_site_fract_x
_atom_site_fract_y
_atom_site_fract_z
Al1 0.2500 0.2500 0.2500
Ge1 0.0000 0.0000 0.0000
U1 0.7500 0.7500 0.7500

---

[2]
# GGA-PBE UAlGe, optimized geometry
# Energy ... -18.3 eV per cell
# Mass density ... 7619 kg/m3
data_UAlGe
_chemical_formula_sum 'U1 Al1 Ge1'
_cell_length_a 4.7037
_cell_length_b 4.7037
_cell_length_c 4.7037
_cell_angle_alpha 60.00
_cell_angle_beta 60.00
_cell_angle_gamma 60.00
_space_group_name_H-M_alt 'P 1'
_space_group_IT_number 1
_space_group_name_Hall 'P 1'
loop_
_atom_site_label
_atom_site_fract_x
_atom_site_fract_y
_atom_site_fract_z
Al1 0.2500 0.2500 0.2500
Ge1 0.7500 0.7500 0.7500
U1 0.0000 0.0000 0.0000

---

Which of these has the highest mass density? number 1